Record 1
Below is a relaxed HfZrTcAg crystal, with properties calculated at the GGA-PBE level.

As for the energy: -8.122 eV per atom. For the theoretical density, the calculation gives 10.50 g cm⁻³. Its formation energy is -0.19 eV/atom.

Unit cell a=4.7378 b=4.7378 c=4.7378 alpha=60.00 beta=60.00 gamma=60.00
Positions (direct):
Hf 0.0000 0.0000 0.0000
Zr 0.5000 0.5000 0.5000
Tc 0.2500 0.2500 0.2500
Ag 0.7500 0.7500 0.7500

***

Record 2
Below is a relaxed HfZr2TcAg crystal, with properties calculated at the GGA-PBE level.

As for the energy: -7.532 eV per atom. For the theoretical density, the calculation gives 7.48 g cm⁻³. Its formation energy is 0.52 eV/atom.

Unit cell a=5.0201 b=5.0201 c=4.9899 alpha=90.00 beta=90.00 gamma=90.00
Positions (direct):
Hf 0.0000 0.0000 0.0000
Zr 0.0000 0.5000 0.5000
Zr 0.5000 0.0000 0.5000
Tc 0.0000 0.0000 0.5000
Ag 0.5000 0.5000 0.0000

***

Record 3
Below is a relaxed HfAgTe3 crystal, with properties calculated at the GGA-PBE level.

The distance to the lowest polymorph of the same formula comes out at 42.97 kJ/mol of atoms. As for the energy: -4.398 eV per atom. For the theoretical density, the calculation gives 6.46 g cm⁻³.

Unit cell a=5.5611 b=5.5611 c=5.5611 alpha=90.00 beta=90.00 gamma=90.00
Positions (direct):
Hf 0.0000 0.0000 0.0000
Ag 0.5000 0.5000 0.5000
Te 0.0000 0.0000 0.5000
Te 0.0000 0.5000 0.0000
Te 0.5000 0.0000 0.0000

***

Record 4
Below is a relaxed Hf3AgTe crystal, with properties calculated at the GGA-PBE level.

The distance to the lowest polymorph of the same formula comes out at 0.00 kJ/mol of atoms. As for the energy: -6.370 eV per atom. For the theoretical density, the calculation gives 9.61 g cm⁻³.

Unit cell a=5.1068 b=5.1068 c=5.1068 alpha=90.00 beta=90.00 gamma=90.00
Positions (direct):
Hf 0.0000 0.0000 0.5000
Hf 0.0000 0.5000 0.0000
Hf 0.5000 0.0000 0.0000
Ag 0.0000 0.0000 0.0000
Te 0.5000 0.5000 0.5000

***

The highest theoretical density belongs to which entry? HfZrTcAg